(1)
A plane-wave DFT calculation with GGA-PBE was carried out for a relaxed structure of TbPm2SmSb4.

Calculated values
- magnetic moment (μB/f.u.) = 0.000
- DFT total energy (eV per atom) = -5.591
- calculated density (g cm⁻³) = 7.16

Lattice parameters (Å, degrees): 4.4671 7.7318 7.7331 70.52 90.00 90.00
Closest atoms and distances in Å follow each position.
Fractional coordinates of all 8 atoms:
1 Sb 0.5000 0.2543 0.7466  2 Tb 3.13, 1 Sm 3.15, 3 Pm 3.16-3.18
2 Sb 0.0000 0.2529 0.2510  1 Tb 3.13, 2 Sm 3.15, 3 Pm 3.16-3.18
3 Sb 0.5000 0.7457 0.2534  2 Tb 3.13, 1 Sm 3.15, 3 Pm 3.16-3.18
4 Sb 0.0000 0.7471 0.7489  1 Tb 3.13, 2 Sm 3.15, 3 Pm 3.16-3.18
5 Sm 0.5000 0.5000 0.0000  6 Sb 3.15
6 Pm 0.5000 0.0000 0.5000  6 Sb 3.16
7 Pm 0.0000 0.0000 0.0000  6 Sb 3.18
8 Tb 0.0000 0.5000 0.5000  6 Sb 3.13

=====

(2)
A plane-wave DFT calculation with GGA-PBE was carried out for a relaxed structure of TbPm3Sm2Sb6.

Calculated values
- magnetic moment (μB/f.u.) = 0.000
- DFT total energy (eV per atom) = -5.598
- calculated density (g cm⁻³) = 7.12

Lattice parameters (Å, degrees): 4.4719 8.9381 9.9935 102.89 102.93 90.00
Closest atoms and distances in Å follow each position.
Fractional coordinates of all 12 atoms:
1 Pm 0.1671 0.8335 0.3342  6 Sb 3.17-3.18
2 Pm 0.5000 0.5000 0.0000  6 Sb 3.17-3.19
3 Pm 0.8329 0.1665 0.6658  6 Sb 3.17-3.18
4 Sb 0.6651 0.0832 0.3303  1 Tb 3.13, 2 Sm 3.15, 3 Pm 3.17-3.18
5 Sb 0.0000 0.7540 0.0000  2 Tb 3.14, 1 Sm 3.15, 3 Pm 3.17-3.19
6 Sb 0.3349 0.9168 0.6697  1 Tb 3.13, 2 Sm 3.15, 3 Pm 3.17-3.18
7 Sb 0.0000 0.2460 0.0000  2 Tb 3.14, 1 Sm 3.15, 3 Pm 3.17-3.19
8 Sb 0.3330 0.4176 0.6659  3 Sm 3.16, 3 Pm 3.17
9 Sb 0.6670 0.5824 0.3341  3 Sm 3.16, 3 Pm 3.17
10 Sm 0.1663 0.3328 0.3326  6 Sb 3.15-3.16
11 Sm 0.8337 0.6672 0.6674  6 Sb 3.15-3.16
12 Tb 0.5000 0.0000 0.0000  6 Sb 3.13-3.14

=====

(3)
A plane-wave DFT calculation with GGA-PBE was carried out for a relaxed structure of PmSm2Sb2Te2.

Calculated values
- magnetic moment (μB/f.u.) = 0.000
- DFT total energy (eV per atom) = -4.800
- calculated density (g cm⁻³) = 5.94

Lattice parameters (Å, degrees): 5.8414 5.8414 8.7762 109.44 109.44 90.00
Closest atoms and distances in Å follow each position.
Fractional coordinates of all 7 atoms:
1 Sm 0.3883 0.3883 0.7767  1 Te 2.94
2 Sm 0.6117 0.6117 0.2233  1 Te 2.94
3 Te 0.8013 0.8013 0.6025  1 Sm 2.94, 1 Pm 3.08
4 Te 0.1987 0.1987 0.3975  1 Sm 2.94, 1 Pm 3.08
5 Sb 0.0000 0.5000 0.0000  2 Pm 2.92
6 Sb 0.5000 0.0000 0.0000  2 Pm 2.92
7 Pm 0.0000 0.0000 0.0000  4 Sb 2.92, 2 Te 3.08

=====

(4)
A plane-wave DFT calculation with GGA-PBE was carried out for a relaxed structure of PmSm3Th2Sb6.

Calculated values
- magnetic moment (μB/f.u.) = 0.000
- DFT total energy (eV per atom) = -5.977
- calculated density (g cm⁻³) = 7.75

Lattice parameters (Å, degrees): 4.4938 8.9657 10.0324 102.88 102.94 90.00
Closest atoms and distances in Å follow each position.
Fractional coordinates of all 12 atoms:
1 Sm 0.1659 0.8340 0.3318  6 Sb 3.15-3.18
2 Sm 0.8341 0.1660 0.6682  6 Sb 3.15-3.18
3 Sm 0.5000 0.5000 0.0000  6 Sb 3.17
4 Th 0.8346 0.6688 0.6692  6 Sb 3.16-3.20
5 Th 0.1654 0.3312 0.3308  6 Sb 3.16-3.20
6 Sb 0.3334 0.4155 0.6669  3 Sm 3.17, 3 Th 3.19-3.20
7 Sb 0.6666 0.5845 0.3331  3 Sm 3.17, 3 Th 3.19-3.20
8 Sb 0.0005 0.7490 0.0010  3 Sm 3.15-3.17, 1 Th 3.16, 2 Pm 3.18
9 Sb 0.6671 0.0820 0.3342  3 Sm 3.16-3.18, 2 Th 3.17, 1 Pm 3.18
10 Sb 0.3329 0.9180 0.6658  3 Sm 3.16-3.18, 2 Th 3.17, 1 Pm 3.18
11 Sb 0.9995 0.2510 0.9990  3 Sm 3.15-3.17, 1 Th 3.16, 2 Pm 3.18
12 Pm 0.5000 0.0000 0.0000  6 Sb 3.18

=====

(5)
A plane-wave DFT calculation with GGA-PBE was carried out for a relaxed structure of PmSmTh2Sb4.

Calculated values
- magnetic moment (μB/f.u.) = 0.000
- DFT total energy (eV per atom) = -6.156
- calculated density (g cm⁻³) = 8.06

Lattice parameters (Å, degrees): 4.5019 7.7672 7.7945 70.38 90.00 90.00
Closest atoms and distances in Å follow each position.
Fractional coordinates of all 8 atoms:
1 Sm 0.0000 0.5000 0.5000  6 Sb 3.17
2 Sb 0.0000 0.2515 0.2501  1 Sm 3.17, 2 Pm 3.17, 3 Th 3.18-3.19
3 Sb 0.0000 0.7485 0.7499  1 Sm 3.17, 2 Pm 3.17, 3 Th 3.18-3.19
4 Sb 0.5000 0.2520 0.7488  2 Sm 3.17, 1 Pm 3.17, 3 Th 3.18-3.19
5 Sb 0.5000 0.7480 0.2512  2 Sm 3.17, 1 Pm 3.17, 3 Th 3.18-3.19
6 Th 0.5000 0.0000 0.5000  6 Sb 3.18
7 Th 0.0000 0.0000 0.0000  6 Sb 3.19
8 Pm 0.5000 0.5000 0.0000  6 Sb 3.17

=====

(6)
A plane-wave DFT calculation with GGA-PBE was carried out for a relaxed structure of Pm2SmThSb4.

Calculated values
- magnetic moment (μB/f.u.) = 0.000
- DFT total energy (eV per atom) = -5.902
- calculated density (g cm⁻³) = 7.51

Lattice parameters (Å, degrees): 4.4976 7.7766 7.7725 70.53 90.00 90.00
Closest atoms and distances in Å follow each position.
Fractional coordinates of all 8 atoms:
1 Th 0.0000 0.5000 0.5000  6 Sb 3.17-3.18
2 Pm 0.0000 0.0000 0.0000  6 Sb 3.17-3.18
3 Pm 0.5000 0.0000 0.5000  6 Sb 3.18
4 Sm 0.5000 0.5000 0.0000  6 Sb 3.17
5 Sb 0.5000 0.7500 0.2491  1 Sm 3.17, 3 Pm 3.17-3.18, 2 Th 3.18
6 Sb 0.0000 0.7489 0.7508  2 Sm 3.17, 1 Th 3.17, 3 Pm 3.18
7 Sb 0.5000 0.2500 0.7509  1 Sm 3.17, 3 Pm 3.17-3.18, 2 Th 3.18
8 Sb 0.0000 0.2511 0.2492  2 Sm 3.17, 1 Th 3.17, 3 Pm 3.18

=====

(7)
A plane-wave DFT calculation with GGA-PBE was carried out for a relaxed structure of Pm2SmThSb5.

Calculated values
- magnetic moment (μB/f.u.) = 0.000
- DFT total energy (eV per atom) = -4.862
- calculated density (g cm⁻³) = 6.31

Lattice parameters (Å, degrees): 5.3223 5.3223 11.9095 90.00 90.00 90.00
Closest atoms and distances in Å follow each position.
Fractional coordinates of all 9 atoms:
1 Pm 0.5000 0.5000 0.7149  9 Sb 3.40-3.79
2 Pm 0.5000 0.5000 0.2851  9 Sb 3.40-3.79
3 Sb 0.0000 0.0000 0.7527  1 Th 2.95, 1 Sm 3.01
4 Sb 0.5000 0.0000 0.5000  2 Sm 2.66
5 Sb 0.0000 0.0000 0.2473  1 Th 2.95, 1 Sm 3.01
6 Sb 0.0000 0.5000 0.5000  2 Sm 2.66
7 Sb 0.5000 0.5000 0.0000  2 Pm 3.40, 4 Th 3.76
8 Sm 0.0000 0.0000 0.5000  4 Sb 2.66
9 Th 0.0000 0.0000 0.0000  2 Sb 2.95

=====

(8)
A plane-wave DFT calculation with GGA-PBE was carried out for a relaxed structure of PmSm2ThSb4.

Calculated values
- magnetic moment (μB/f.u.) = 0.000
- DFT total energy (eV per atom) = -5.895
- calculated density (g cm⁻³) = 7.57

Lattice parameters (Å, degrees): 4.4932 7.7613 7.7668 70.53 90.00 90.00
Closest atoms and distances in Å follow each position.
Fractional coordinates of all 8 atoms:
1 Pm 0.5000 0.5000 0.0000  6 Sb 3.18
2 Sm 0.0000 0.0000 0.0000  6 Sb 3.16-3.17
3 Sm 0.5000 0.0000 0.5000  6 Sb 3.16-3.17
4 Th 0.0000 0.5000 0.5000  6 Sb 3.17-3.18
5 Sb 0.0000 0.2488 0.2506  3 Sm 3.17, 1 Th 3.17, 2 Pm 3.18
6 Sb 0.5000 0.7519 0.2491  3 Sm 3.16, 1 Pm 3.18, 2 Th 3.18
7 Sb 0.5000 0.2481 0.7509  3 Sm 3.16, 1 Pm 3.18, 2 Th 3.18
8 Sb 0.0000 0.7512 0.7494  3 Sm 3.17, 1 Th 3.17, 2 Pm 3.18

=====

(9)
A plane-wave DFT calculation with GGA-PBE was carried out for a relaxed structure of Pm2SmTm3Sb6.

Calculated values
- magnetic moment (μB/f.u.) = 0.000
- DFT total energy (eV per atom) = -5.487
- calculated density (g cm⁻³) = 7.65

Lattice parameters (Å, degrees): 4.4144 8.8183 9.8601 102.77 102.94 90.00
Closest atoms and distances in Å follow each position.
Fractional coordinates of all 12 atoms:
1 Tm 0.5000 0.5000 0.0000  6 Sb 3.08
2 Tm 0.1669 0.8332 0.3337  6 Sb 3.08
3 Tm 0.8331 0.1668 0.6663  6 Sb 3.08
4 Pm 0.8335 0.6670 0.6670  6 Sb 3.16-3.17
5 Pm 0.1665 0.3330 0.3330  6 Sb 3.16-3.17
6 Sb 0.6686 0.0770 0.3372  3 Tm 3.08, 1 Sm 3.16, 2 Pm 3.16
7 Sb 0.3356 0.4110 0.6713  3 Tm 3.08, 3 Pm 3.16-3.17
8 Sb 0.0025 0.7452 0.0050  3 Tm 3.08, 2 Sm 3.16, 1 Pm 3.16
9 Sb 0.6644 0.5890 0.3287  3 Tm 3.08, 3 Pm 3.16-3.17
10 Sb 0.3314 0.9230 0.6628  3 Tm 3.08, 1 Sm 3.16, 2 Pm 3.16
11 Sb 0.9975 0.2548 0.9950  3 Tm 3.08, 2 Sm 3.16, 1 Pm 3.16
12 Sm 0.5000 0.0000 0.0000  6 Sb 3.16

=====

(10)
A plane-wave DFT calculation with GGA-PBE was carried out for a relaxed structure of PmSm2USb4.

Calculated values
- magnetic moment (μB/f.u.) = 2.703
- DFT total energy (eV per atom) = -6.171
- calculated density (g cm⁻³) = 7.79

Lattice parameters (Å, degrees): 6.2958 6.2958 7.7105 114.10 114.10 90.00
Closest atoms and distances in Å follow each position.
Fractional coordinates of all 8 atoms:
1 Sb 0.5041 0.0041 0.0083  1 U 3.10, 2 Pm 3.15, 3 Sm 3.15-3.20
2 Sb 0.2495 0.2495 0.4990  3 Sm 3.14-3.15, 2 U 3.15, 1 Pm 3.15
3 Sb 0.9959 0.4959 0.9917  1 U 3.10, 3 Sm 3.15-3.20, 2 Pm 3.15
4 Sb 0.7505 0.7505 0.5010  3 Sm 3.14-3.15, 2 U 3.15, 1 Pm 3.15
5 Sm 0.0000 0.0000 0.0000  6 Sb 3.14-3.15
6 Sm 0.2500 0.7500 0.5000  6 Sb 3.15-3.20
7 U 0.7500 0.2500 0.5000  6 Sb 3.10-3.15
8 Pm 0.5000 0.5000 0.0000  6 Sb 3.15

=====

What is the formula in the tenth record?
PmSm2USb4

=====

Look up the DFT total energy of the first one.
-5.591 eV per atom

=====

Which value of calculated density does entry 10 give?
7.79 g cm⁻³